Arrangement 1

DFT (GGA-PBE) results for Na2CdHg7 after structural relaxation.

The structure belongs to space group P3m1 (No. 156); the cell edges are 5.0606, 5.0606 and 12.6321 Å and the angles 90.00°, 90.00° and 120.00°. The asymmetric unit holds Na at (0.0000, 0.0000, 0.0000), Na at (0.3333, 0.6667, 0.6728), Cd at (0.6667, 0.3333, 0.3084), Hg at (0.0000, 0.0000, 0.2403), Hg at (0.0000, 0.0000, 0.5052), Hg at (0.0000, 0.0000, 0.7602), Hg at (0.3333, 0.6667, 0.1234), Hg at (0.3333, 0.6667, 0.4036), Hg at (0.6667, 0.3333, 0.5860) and Hg at (0.6667, 0.3333, 0.8598).

The density of states at the Fermi level is 2.77 states/eV/cell.

Arrangement 2

DFT (GGA-PBE) results for Na2CdHg7 after structural relaxation.

The structure belongs to space group Fm-3m (No. 225); the cell edges are 11.340, 11.340 and 11.340 Å and the angles 90.00°, 90.00° and 90.00°. The asymmetric unit holds Na at (0.250, 0.250, 0.250), Cd at (0.000, 0.000, 0.000), Hg at (0.000, 0.000, 0.249) and Hg at (0.000, 0.000, 0.500).

The density of states at the Fermi level is 12.50 states/eV/cell.

If we sort the structures by their calculated energies, the order from most to least stable is arrangement 1, arrangement 2.

Arrangement 1

DFT (GGA-PBE) results for NaCd4Hg2 after structural relaxation.

The structure belongs to space group I4/mmm (No. 139); the cell edges are 4.104, 4.104 and 21.518 Å and the angles 90.00°, 90.00° and 90.00°. The asymmetric unit holds Na at (0.000, 0.000, 0.000), Cd at (0.000, 0.000, 0.143), Cd at (0.000, 0.500, 0.250) and Hg at (0.000, 0.000, 0.417).

The density of states at the Fermi level is 4.38 states/eV/cell.

Arrangement 2

DFT (GGA-PBE) results for NaCd4Hg2 after structural relaxation.

The structure belongs to space group Cmmm (No. 65); the cell edges are 4.852, 20.158 and 3.447 Å and the angles 90.00°, 90.00° and 90.00°. The asymmetric unit holds Na at (0.000, 0.000, 0.000), Cd at (0.000, 0.157, 0.500), Cd at (0.000, 0.295, 0.000) and Hg at (0.000, 0.427, 0.500).

The density of states at the Fermi level is 2.62 states/eV/cell.

If we sort the structures by their calculated energies, the order from most to least stable is arrangement 2, arrangement 1.

Arrangement 1

DFT (GGA-PBE) results for Na3Cd3Hg after structural relaxation.

The structure belongs to space group P2_1/m (No. 11); the cell edges are 8.724, 5.362 and 8.724 Å and the angles 90.00°, 119.92° and 90.00°. The asymmetric unit holds Na at (0.035, 0.250, 0.411), Na at (0.125, 0.750, 0.036), Na at (0.412, 0.750, 0.876), Cd at (0.272, 0.750, 0.452), Cd at (0.320, 0.250, 0.271), Cd at (0.451, 0.250, 0.679) and Hg at (0.167, 0.250, 0.833).

The density of states at the Fermi level is 6.34 states/eV/cell.

Arrangement 2

DFT (GGA-PBE) results for Na3Cd3Hg after structural relaxation.

The structure belongs to space group R-3 (No. 148, hexagonal axes); the cell edges are 7.7046, 7.7046 and 21.1649 Å and the angles 90.00°, 90.00° and 120.00°. The asymmetric unit holds Na at (0.0333, 0.2741, 0.2108), Cd at (0.0533, 0.7987, 0.6406) and Hg at (0.0000, 0.0000, 0.0897).

The density of states at the Fermi level is 13.32 states/eV/cell.

If we sort the structures by their calculated energies, the order from most to least stable is arrangement 1, arrangement 2.

Arrangement 1

DFT (GGA-PBE) results for NaCd3Hg6 after structural relaxation.

The structure belongs to space group P2_1/m (No. 11); the cell edges are 9.203, 5.197 and 11.074 Å and the angles 90.00°, 109.72° and 90.00°. The asymmetric unit holds Na at (0.061, 0.250, 0.380), Cd at (0.260, 0.250, 0.983), Cd at (0.337, 0.750, 0.845), Cd at (0.463, 0.250, 0.570), Hg at (0.042, 0.750, 0.926), Hg at (0.144, 0.750, 0.237), Hg at (0.169, 0.250, 0.680), Hg at (0.255, 0.750, 0.546), Hg at (0.362, 0.250, 0.274) and Hg at (0.457, 0.750, 0.136).

The density of states at the Fermi level is 4.00 states/eV/cell.

Arrangement 2

DFT (GGA-PBE) results for NaCd3Hg6 after structural relaxation.

The structure belongs to space group P2_1/c (No. 14); the cell edges are 7.065, 9.185 and 10.543 Å and the angles 90.00°, 129.27° and 90.00°. The asymmetric unit holds Na at (0.000, 0.000, 0.000), Cd at (0.380, 0.137, 0.729), Cd at (0.500, 0.000, 0.500), Hg at (0.034, 0.166, 0.279), Hg at (0.172, 0.659, 0.035) and Hg at (0.469, 0.144, 0.058).

The density of states at the Fermi level is 6.78 states/eV/cell.

If we sort the structures by their calculated energies, the order from most to least stable is arrangement 1, arrangement 2.

Arrangement 1

DFT (GGA-PBE) results for Na3CdHg3 after structural relaxation.

The structure belongs to space group Pm-3n (No. 223); the cell edges are 8.405, 8.405 and 8.405 Å and the angles 90.00°, 90.00° and 90.00°. The asymmetric unit holds Na at (0.000, 0.250, 0.500), Cd at (0.000, 0.000, 0.000) and Hg at (0.000, 0.500, 0.250).

The density of states at the Fermi level is 10.03 states/eV/cell.

Arrangement 2

DFT (GGA-PBE) results for Na3CdHg3 after structural relaxation.

The structure belongs to space group P6_3/m (No. 176); the cell edges are 8.7063, 8.7063 and 5.5057 Å and the angles 90.00°, 90.00° and 120.00°. The asymmetric unit holds Na at (0.0892, 0.4556, 0.2500), Cd at (0.3333, 0.6667, 0.7500) and Hg at (0.0480, 0.2440, 0.7500).

The density of states at the Fermi level is 6.23 states/eV/cell.

If we sort the structures by their calculated energies, the order from most to least stable is arrangement 2, arrangement 1.

Arrangement 1

DFT (GGA-PBE) results for NaCd4Hg6 after structural relaxation.

The structure belongs to space group P1 (No. 1); the cell edges are 6.605, 6.994 and 7.288 Å and the angles 95.81°, 108.13° and 112.51°. The asymmetric unit holds Na at (0.000, 0.000, 0.000), Cd at (0.051, 0.421, 0.305), Cd at (0.142, 0.748, 0.671), Cd at (0.758, 0.677, 0.276), Cd at (0.870, 0.368, 0.790), Hg at (0.078, 0.129, 0.569), Hg at (0.308, 0.727, 0.112), Hg at (0.475, 0.277, 0.387), Hg at (0.531, 0.554, 0.823), Hg at (0.556, 0.140, 0.001) and Hg at (0.567, 0.890, 0.563).

The density of states at the Fermi level is 3.05 states/eV/cell.

Arrangement 2

DFT (GGA-PBE) results for NaCd4Hg6 after structural relaxation.

The structure belongs to space group I-42m (No. 121); the cell edges are 6.001, 6.001 and 16.009 Å and the angles 90.00°, 90.00° and 90.00°. The asymmetric unit holds Na at (0.000, 0.000, 0.000), Cd at (0.184, 0.184, 0.370), Hg at (0.000, 0.500, 0.000) and Hg at (0.193, 0.193, 0.181).

The density of states at the Fermi level is 6.39 states/eV/cell.

If we sort the structures by their calculated energies, the order from most to least stable is arrangement 1, arrangement 2.

Arrangement 1

DFT (GGA-PBE) results for NaCd6Hg8 after structural relaxation.

The structure belongs to space group R-3 (No. 148, hexagonal axes); the cell edges are 8.1340, 8.1340 and 21.0837 Å and the angles 90.00°, 90.00° and 120.00°. The asymmetric unit holds Na at (0.0000, 0.0000, 0.0000), Cd at (0.0372, 0.2335, 0.6846), Hg at (0.0000, 0.0000, 0.1947) and Hg at (0.0261, 0.5288, 0.2174).

The density of states at the Fermi level is 17.47 states/eV/cell.

Arrangement 2

DFT (GGA-PBE) results for NaCd6Hg8 after structural relaxation.

The structure belongs to space group R-3 (No. 148, hexagonal axes); the cell edges are 9.4821, 9.4821 and 14.9082 Å and the angles 90.00°, 90.00° and 120.00°. The asymmetric unit holds Na at (0.0000, 0.0000, 0.0000), Cd at (0.0118, 0.8146, 0.4026), Hg at (0.0000, 0.0000, 0.2184) and Hg at (0.0286, 0.7299, 0.8998).

The density of states at the Fermi level is 9.85 states/eV/cell.

If we sort the structures by their calculated energies, the order from most to least stable is arrangement 2, arrangement 1.

Arrangement 1

DFT (GGA-PBE) results for Na5Cd2Hg2 after structural relaxation.

The structure belongs to space group Cmce (No. 64); the cell edges are 16.579, 8.058 and 7.952 Å and the angles 90.00°, 90.00° and 90.00°. The asymmetric unit holds Na at (0.000, 0.000, 0.000), Na at (0.134, 0.180, 0.323), Cd at (0.218, 0.000, 0.000) and Hg at (0.000, 0.130, 0.629).

The density of states at the Fermi level is 17.21 states/eV/cell.

Arrangement 2

DFT (GGA-PBE) results for Na5Cd2Hg2 after structural relaxation.

The structure belongs to space group Ima2 (No. 46); the cell edges are 15.921, 9.805 and 6.755 Å and the angles 90.00°, 90.00° and 90.00°. The asymmetric unit holds Na at (0.067, 0.208, 0.000), Na at (0.145, 0.663, 0.617), Na at (0.250, 0.106, 0.382), Cd at (0.094, 0.533, 0.183), Hg at (0.000, 0.000, 0.310) and Hg at (0.250, 0.063, 0.875).

The density of states at the Fermi level is 15.15 states/eV/cell.

If we sort the structures by their calculated energies, the order from most to least stable is arrangement 2, arrangement 1.

Arrangement 1

DFT (GGA-PBE) results for Na8Cd6Hg after structural relaxation.

The structure belongs to space group R-3 (No. 148, hexagonal axes); the cell edges are 8.4815, 8.4815 and 20.0468 Å and the angles 90.00°, 90.00° and 120.00°. The asymmetric unit holds Na at (0.0000, 0.0000, 0.0874), Na at (0.0410, 0.2581, 0.6178), Cd at (0.0223, 0.2282, 0.7814) and Hg at (0.0000, 0.0000, 0.5000).

The density of states at the Fermi level is 18.49 states/eV/cell.

Arrangement 2

DFT (GGA-PBE) results for Na8Cd6Hg after structural relaxation.

The structure belongs to space group R-3 (No. 148, hexagonal axes); the cell edges are 8.9376, 8.9376 and 19.6260 Å and the angles 90.00°, 90.00° and 120.00°. The asymmetric unit holds Na at (0.0000, 0.0000, 0.1654), Na at (0.0008, 0.6639, 0.3795), Cd at (0.0011, 0.3264, 0.4568) and Hg at (0.0000, 0.0000, 0.5000).

The density of states at the Fermi level is 19.13 states/eV/cell.

If we sort the structures by their calculated energies, the order from most to least stable is arrangement 1, arrangement 2.

Arrangement 1

DFT (GGA-PBE) results for NaCdHgPb after structural relaxation.

The structure belongs to space group Cm (No. 8); the cell edges are 5.147, 5.144 and 7.990 Å and the angles 90.00°, 90.02° and 90.00°. The asymmetric unit holds Na at (0.000, 0.000, 0.000), Cd at (0.001, 0.000, 0.456), Hg at (0.001, 0.500, 0.232) and Pb at (0.001, 0.500, 0.708).

The density of states at the Fermi level is 3.48 states/eV/cell.

Arrangement 2

DFT (GGA-PBE) results for NaCdHgPb after structural relaxation.

The structure belongs to space group F-43m (No. 216); the cell edges are 7.517, 7.517 and 7.517 Å and the angles 90.00°, 90.00° and 90.00°. The asymmetric unit holds Na at (0.000, 0.000, 0.000), Cd at (0.250, 0.250, 0.750), Hg at (0.250, 0.250, 0.250) and Pb at (0.000, 0.000, 0.500).

The density of states at the Fermi level is 10.71 states/eV/cell.

If we sort the structures by their calculated energies, the order from most to least stable is arrangement 1, arrangement 2.